[1]
{"formula": "Ba4Tl5Pb", "functional": "GGA-PBE", "state": "optimized geometry", "volume_a3_per_cell": 376.31, "total_energy_ev_per_cell": -26.62, "delta_e_f_mev_per_atom": -338.8, "magmom_total_mub_per_fu": 0.0, "lattice": [[-1.9027, 3.7470, 0.8267], [-1.5215, 0.1103, -4.0021], [-16.8721, -9.9225, 6.1408]], "species": ["Ba", "Ba", "Ba", "Ba", "Tl", "Tl", "Tl", "Tl", "Tl", "Pb"], "frac_coords": [[0.0000, 0.0000, 0.3966], [0.0000, 0.0000, 0.1865], [0.0000, 0.0000, 0.8135], [0.0000, 0.0000, 0.6034], [0.5000, 0.5000, 0.7061], [0.5000, 0.5000, 0.0795], [0.5000, 0.5000, 0.5000], [0.5000, 0.5000, 0.2939], [0.5000, 0.5000, 0.9205], [0.0000, 0.0000, 0.0000]]}


[2]
{"formula": "BaTl11Pb", "functional": "GGA-PBE", "state": "optimized geometry", "volume_a3_per_cell": 428.28, "total_energy_ev_per_cell": -32.46, "delta_e_f_mev_per_atom": -61.7, "magmom_total_mub_per_fu": 0.0, "lattice": [[6.0354, 0.0163, 2.5144], [2.9585, 8.1151, 1.2326], [-0.0896, 0.0081, 8.7156]], "species": ["Tl", "Tl", "Tl", "Tl", "Tl", "Tl", "Tl", "Tl", "Tl", "Tl", "Tl", "Pb", "Ba"], "frac_coords": [[0.3642, 0.6415, 0.6423], [0.0000, 0.0000, 0.5000], [0.9936, 0.3585, 0.6423], [0.0000, 0.5000, 0.0000], [0.2843, 0.2118, 0.2116], [0.4959, 0.2118, 0.7884], [0.6358, 0.3585, 0.3577], [0.7157, 0.7882, 0.7884], [0.5000, 0.0000, 0.5000], [0.5041, 0.7882, 0.2116], [0.0064, 0.6415, 0.3577], [0.5000, 0.5000, 0.0000], [0.0000, 0.0000, 0.0000]]}


[3]
{"formula": "Ba4TlPb", "functional": "GGA-PBE", "state": "optimized geometry", "e_above_lowest_polymorph_mev_per_atom": 0, "volume_a3_per_cell": 309.17, "total_energy_ev_per_cell": -15.77, "delta_e_f_mev_per_atom": -334.3, "magmom_total_mub_per_fu": 0.0, "lattice": [[6.0098, 0.0000, -0.0023], [-0.0002, 6.0098, -0.0033], [0.0036, 0.0057, 8.5602]], "species": ["Ba", "Ba", "Ba", "Ba", "Pb", "Tl"], "frac_coords": [[0.0012, 0.4971, 0.2512], [0.5014, 0.9974, 0.7451], [0.0014, 0.4974, 0.7451], [0.5013, 0.9971, 0.2512], [0.5013, 0.4973, 0.9981], [0.0013, 0.9973, 0.4981]]}


[4]
{"formula": "BaTlPb2", "functional": "GGA-PBE", "state": "optimized geometry", "e_above_lowest_polymorph_mev_per_atom": 100, "volume_a3_per_cell": 140.29, "total_energy_ev_per_cell": -12.66, "delta_e_f_mev_per_atom": -239.4, "magmom_total_mub_per_fu": 0.0, "lattice": [[-3.4675, 1.2394, -1.6377], [-1.0769, -4.3050, -0.9779], [-3.4563, -0.6808, 6.8029]], "species": ["Tl", "Pb", "Pb", "Ba"], "frac_coords": [[0.5000, 0.5000, 0.2500], [0.0000, 0.0000, 0.0428], [0.0000, 0.0000, 0.4572], [0.5000, 0.5000, 0.7500]]}


[5]
{"formula": "Ba3TlPb3", "functional": "GGA-PBE", "state": "optimized geometry", "volume_a3_per_cell": 558.15, "total_energy_ev_per_cell": -45.63, "delta_e_f_mev_per_atom": -508.1, "magmom_total_mub_per_fu": 0.0, "lattice": [[5.2827, 0.0000, 0.7958], [2.5962, 6.5117, 0.6978], [0.2498, 0.2388, 16.2746]], "species": ["Ba", "Ba", "Ba", "Ba", "Ba", "Ba", "Pb", "Pb", "Pb", "Pb", "Pb", "Pb", "Tl", "Tl"], "frac_coords": [[0.2732, 0.2253, 0.2283], [0.3956, 0.2842, 0.9246], [0.6044, 0.7158, 0.0754], [0.7268, 0.7747, 0.7717], [0.4741, 0.6692, 0.3827], [0.5259, 0.3308, 0.6173], [0.0114, 0.2023, 0.7748], [0.8619, 0.7247, 0.5514], [0.1381, 0.2753, 0.4486], [0.1085, 0.8590, 0.9240], [0.9886, 0.7977, 0.2252], [0.8915, 0.1410, 0.0760], [0.2220, 0.9492, 0.6067], [0.7780, 0.0508, 0.3933]]}


[6]
{"formula": "Ba2Tl4Pb", "functional": "GGA-PBE", "state": "optimized geometry", "e_above_lowest_polymorph_mev_per_atom": 237, "volume_a3_per_cell": 310.28, "total_energy_ev_per_cell": -17.20, "delta_e_f_mev_per_atom": -25.2, "magmom_total_mub_per_fu": 0.0, "lattice": [[-4.7474, -3.0510, -1.6738], [2.7680, -5.0266, 1.3113], [-2.2189, 4.4503, 8.5318]], "species": ["Ba", "Ba", "Tl", "Tl", "Tl", "Tl", "Pb"], "frac_coords": [[0.3664, 0.3664, 0.7328], [0.6336, 0.6336, 0.2672], [0.5000, 0.0000, 0.0000], [0.8282, 0.8282, 0.6564], [0.1718, 0.1718, 0.3436], [0.0000, 0.5000, 0.0000], [0.0000, 0.0000, 0.0000]]}


[7]
{"formula": "BaTl6Pb2", "functional": "GGA-PBE", "state": "optimized geometry", "e_above_lowest_polymorph_mev_per_atom": 132, "volume_a3_per_cell": 338.63, "total_energy_ev_per_cell": -23.28, "delta_e_f_mev_per_atom": 28.8, "magmom_total_mub_per_fu": 0.0, "lattice": [[6.4950, 0.0000, 0.0000], [-3.2475, 5.6249, 0.0000], [0.0000, 0.0000, 9.2690]], "species": ["Tl", "Tl", "Tl", "Tl", "Tl", "Tl", "Pb", "Pb", "Ba"], "frac_coords": [[0.0000, 0.5001, 0.1959], [0.4999, 0.0000, 0.8041], [0.4999, 0.4999, 0.1959], [0.5001, 0.0000, 0.1959], [0.0000, 0.4999, 0.8041], [0.5001, 0.5001, 0.8041], [0.3333, 0.6667, 0.5000], [0.6667, 0.3333, 0.5000], [0.0000, 0.0000, 0.0000]]}


[8]
{"formula": "Ba3Tl7Pb2", "functional": "GGA-PBE", "state": "optimized geometry", "e_above_lowest_polymorph_mev_per_atom": 0, "volume_a3_per_cell": 419.35, "total_energy_ev_per_cell": -32.74, "delta_e_f_mev_per_atom": -249.2, "magmom_total_mub_per_fu": 0.0, "lattice": [[-5.8547, -0.8967, -3.0833], [-0.1474, -1.7275, -6.4484], [-1.8725, -11.3648, -0.3700]], "species": ["Tl", "Tl", "Tl", "Tl", "Tl", "Tl", "Tl", "Pb", "Pb", "Ba", "Ba", "Ba"], "frac_coords": [[0.5874, 0.0773, 0.7479], [0.0773, 0.5874, 0.7479], [0.5874, 0.5874, 0.7479], [0.4126, 0.4126, 0.2521], [0.4126, 0.9227, 0.2521], [0.9227, 0.4126, 0.2521], [0.5000, 0.5000, 0.5000], [0.6642, 0.6642, 0.0074], [0.3358, 0.3358, 0.9926], [0.1395, 0.1395, 0.5815], [0.0000, 0.0000, 0.0000], [0.8605, 0.8605, 0.4185]]}


[9]
{"formula": "BaTl4Pb2", "functional": "GGA-PBE", "state": "optimized geometry", "e_above_lowest_polymorph_mev_per_atom": 26, "volume_a3_per_cell": 247.96, "total_energy_ev_per_cell": -19.71, "delta_e_f_mev_per_atom": -129.7, "magmom_total_mub_per_fu": 0.0, "lattice": [[-4.7360, -0.9752, -0.6696], [1.2488, -4.1236, -2.8264], [-0.6263, -3.5119, 9.5442]], "species": ["Pb", "Pb", "Tl", "Tl", "Tl", "Tl", "Ba"], "frac_coords": [[0.5000, 0.4225, 0.8449], [0.5000, 0.5775, 0.1551], [0.5000, 0.1836, 0.3673], [0.0000, 0.6885, 0.3771], [0.0000, 0.3115, 0.6229], [0.5000, 0.8164, 0.6327], [0.0000, 0.0000, 0.0000]]}


[10]
{"formula": "BaTlPb2", "functional": "GGA-PBE", "state": "optimized geometry", "e_above_lowest_polymorph_mev_per_atom": 133, "volume_a3_per_cell": 139.06, "total_energy_ev_per_cell": -12.53, "delta_e_f_mev_per_atom": -206.3, "magmom_total_mub_per_fu": 0.0, "lattice": [[-5.5157, 0.3507, 1.8088], [-4.2304, 1.2398, -3.7925], [-3.8279, -4.1018, -1.5294]], "species": ["Pb", "Pb", "Tl", "Ba"], "frac_coords": [[0.2500, 0.2500, 0.2500], [0.7500, 0.7500, 0.7500], [0.5000, 0.5000, 0.5000], [0.0000, 0.0000, 0.0000]]}


[11]
{"formula": "Ba2Tl3Pb", "functional": "GGA-PBE", "state": "optimized geometry", "e_above_lowest_polymorph_mev_per_atom": 83, "volume_a3_per_cell": 466.44, "total_energy_ev_per_cell": -33.03, "delta_e_f_mev_per_atom": -310.3, "magmom_total_mub_per_fu": 0.0, "lattice": [[7.2332, 0.2640, 0.0000], [-0.1822, 7.2357, 0.0000], [-3.5255, -3.7498, 8.9040]], "species": ["Pb", "Pb", "Tl", "Tl", "Tl", "Tl", "Tl", "Tl", "Ba", "Ba", "Ba", "Ba"], "frac_coords": [[0.3329, 0.3329, 0.6657], [0.6671, 0.6671, 0.3343], [0.6704, 0.6704, 0.8347], [0.1643, 0.1643, 0.8347], [0.8357, 0.8357, 0.1653], [0.3296, 0.3296, 0.1653], [0.8353, 0.8353, 0.6707], [0.1647, 0.1647, 0.3293], [0.7453, 0.2547, 0.0000], [0.2547, 0.7453, 0.0000], [0.2500, 0.7500, 0.5000], [0.7500, 0.2500, 0.5000]]}


[12]
{"formula": "Ba3Tl9Pb2", "functional": "GGA-PBE", "state": "optimized geometry", "volume_a3_per_cell": 482.29, "total_energy_ev_per_cell": -38.22, "delta_e_f_mev_per_atom": -267.4, "magmom_total_mub_per_fu": 0.0, "lattice": [[-5.1678, 0.2844, -0.2208], [-3.0681, -9.5628, -1.2798], [-3.1622, -3.2543, 9.0503]], "species": ["Ba", "Ba", "Ba", "Tl", "Tl", "Tl", "Tl", "Tl", "Tl", "Tl", "Tl", "Tl", "Pb", "Pb"], "frac_coords": [[0.3098, 0.6902, 0.6902], [0.0000, 0.0000, 0.0000], [0.6902, 0.3098, 0.3098], [0.6590, 0.7129, 0.9690], [0.1450, 0.1353, 0.5747], [0.8550, 0.4253, 0.8647], [0.3410, 0.0310, 0.2871], [0.1450, 0.5747, 0.1353], [0.8550, 0.8647, 0.4253], [0.6590, 0.9690, 0.7129], [0.0000, 0.5000, 0.5000], [0.3410, 0.2871, 0.0310], [0.5000, 0.3031, 0.6969], [0.5000, 0.6969, 0.3031]]}